Entry 1:
First-principles (PBE) data for a relaxed AlBiNF2 crystal, as listed in Alexandria.

Output
crystal system	tetragonal

Cell lengths 4.020, 4.020, 3.856 Å; angles 90.00, 90.00, 90.00 degrees
Element x y z (fractional)
1 Al 0.000 0.000 0.000
2 Bi 0.500 0.500 0.500
3 N 0.000 0.000 0.500
4 F 0.000 0.500 0.000
5 F 0.500 0.000 0.000

Entry 2:
First-principles (PBE) data for a relaxed AlBiN2F crystal, as listed in Alexandria.

Output
crystal system	tetragonal

Cell lengths 4.368, 4.368, 4.363 Å; angles 90.00, 90.00, 90.00 degrees
Element x y z (fractional)
1 Al 0.000 0.000 0.000
2 Bi 0.500 0.500 0.500
3 N 0.000 0.500 0.500
4 N 0.500 0.000 0.500
5 F 0.500 0.500 0.000

ΔE_f (raw) in eV/atom, matching the order above: -1.345; 0.763